(1)
This record from Alexandria describes LiPmYBi after structural relaxation. The functional is PBE.

a = 5.3636 Å, b = 5.3636 Å, c = 5.3636 Å
α = 60.00°, β = 60.00°, γ = 60.00°
Element x y z (fractional)
Li  0.2500  0.2500  0.2500
Pm  0.5000  0.5000  0.5000
Y  0.0000  0.0000  0.0000
Bi  0.7500  0.7500  0.7500

Summary:
As for the space group: F-43m, No. 216. The value obtained for the formation energy from the elements is -0.351 eV per atom. The value obtained for the uncorrected energy is -4.60 eV per atom. Its magnetization is 0.000 μB per atom.

---

(2)
This record from Alexandria describes Li2PrBi2 after structural relaxation. The functional is PBE.

a = 4.3341 Å, b = 6.9508 Å, c = 10.2117 Å
α = 120.42°, β = 102.25°, γ = 90.00°
Element x y z (fractional)
Li  0.2032  0.0566  0.4065
Li  0.7968  0.9434  0.5935
Li  0.2033  0.5566  0.4065
Li  0.7967  0.4434  0.5935
Bi  0.3756  0.8122  0.7511
Bi  0.3756  0.3122  0.7511
Bi  0.6244  0.6878  0.2489
Bi  0.6244  0.1878  0.2489
Pr  0.0000  0.7500  0.0000
Pr  0.0000  0.2500  0.0000

Summary:
As for the space group: C2/m, No. 12. The value obtained for the formation energy from the elements is -0.590 eV per atom. The value obtained for the uncorrected energy is -3.86 eV per atom. Its magnetization is 0.023 μB per atom.

---

Question: Which of these has the lowest formation energy from the elements?
Answer: Li2PrBi2